# 1
Density functional theory data (SCAN) for a crystal of Cs2LiInF6 relaxed with PBEsol.

a = 8.628 Å, b = 8.628 Å, c = 8.628 Å
α = 90.00°, β = 90.00°, γ = 90.00°
Space group Fm-3m (No. 225)
Asymmetric unit:
Cs: 0.250 0.250 0.250 [8 per cell]
Li: 0.000 0.000 0.000 [4 per cell]
In: 0.000 0.000 0.500 [4 per cell]
F: 0.000 0.000 0.256 [24 per cell]

Results
Crystal system   cubic

# 2
Density functional theory data (SCAN) for a crystal of MgZn2Cd relaxed with PBEsol.

a = 9.190 Å, b = 3.022 Å, c = 5.187 Å
α = 90.00°, β = 101.20°, γ = 90.00°
Space group C2/m (No. 12)
Asymmetric unit:
Mg: 0.000 0.000 0.000 [2 per cell]
Zn: 0.249 0.500 0.246 [4 per cell]
Cd: 0.000 0.500 0.500 [2 per cell]

Results
Relative energy among the computed polymorphs   72 meV per atom
Formation energy   0.0110 eV per atom
Crystal system   monoclinic

Computed values of total DFT energy (no corrections) (unit: hartree per atom) for the preceding records, in sequence: -0.5955, -0.5731.
Computed values of D(E_F) (unit: states/eV/f.u.) for the preceding records, in sequence: 0.0, 1.2.